Here is a geometry-optimized Cr2MoPb structure from Alexandria. Energies are from GGA-PBE.

a b c (Å): 4.5605 4.5605 4.5605
angles (deg): 60.00 60.00 60.00
Last column: nearest neighbours and their distance in Å.
Element x y z (fractional)
1 Pb 0.7500 0.7500 0.7500  4 Cr 2.79, 4 Mo 2.79
2 Mo 0.5000 0.5000 0.5000  4 Pb 2.79, 4 Cr 2.79
3 Cr 0.2500 0.2500 0.2500  4 Mo 2.79, 4 Cr 2.79
4 Cr 0.0000 0.0000 0.0000  4 Cr 2.79, 4 Pb 2.79

---

Here is a geometry-optimized NdCu4Ag8 structure from Alexandria. Energies are from GGA-PBE.

a b c (Å): 5.2048 7.0901 7.0901
angles (deg): 82.26 68.47 68.47
Last column: nearest neighbours and their distance in Å.
Element x y z (fractional)
1 Ag 0.0000 0.3479 0.6521  4 Cu 2.82, 5 Ag 2.84-2.98
2 Ag 0.6521 0.3479 0.3479  4 Cu 2.82, 5 Ag 2.84-2.98
3 Ag 0.3479 0.6521 0.6521  4 Cu 2.82, 5 Ag 2.84-2.98
4 Ag 0.2813 0.2187 0.2187  4 Cu 2.69, 6 Ag 2.87-2.98
5 Cu 0.5000 0.5000 0.0000  2 Cu 2.60, 8 Ag 2.69-2.82
6 Nd 0.0000 0.0000 0.0000  12 Ag 3.25-3.31, 8 Cu 3.55
7 Cu 0.5000 0.0000 0.5000  2 Cu 2.60, 8 Ag 2.69-2.82
8 Ag 0.7187 0.7813 0.7813  4 Cu 2.69, 6 Ag 2.87-2.98
9 Ag 0.5000 0.7813 0.2187  4 Cu 2.69, 6 Ag 2.87-2.98
10 Cu 0.0000 0.0000 0.5000  2 Cu 2.60, 8 Ag 2.69-2.82
11 Cu 0.0000 0.5000 0.0000  2 Cu 2.60, 8 Ag 2.69-2.82
12 Ag 0.0000 0.6521 0.3479  4 Cu 2.82, 5 Ag 2.84-2.98
13 Ag 0.5000 0.2187 0.7813  4 Cu 2.69, 6 Ag 2.87-2.98

---

Here is a geometry-optimized YAg2Ir structure from Alexandria. Energies are from GGA-PBE.

a b c (Å): 4.7702 4.7702 4.7702
angles (deg): 60.00 60.00 60.00
Last column: nearest neighbours and their distance in Å.
Element x y z (fractional)
1 Ir 0.5000 0.5000 0.5000  8 Ag 2.92
2 Ag 0.2500 0.2500 0.2500  4 Ir 2.92, 4 Y 2.92
3 Y 0.0000 0.0000 0.0000  8 Ag 2.92
4 Ag 0.7500 0.7500 0.7500  4 Y 2.92, 4 Ir 2.92

---

no.,DFT formation energy (kJ per mole of atoms),V (A^3/atom)
1,62.74,16.8
2,-3.81,17.4
3,-7.78,19.2